Computed, not measured: an optimized crystal structure of Fe3IrAu at the PBE level of DFT.

V (Å³/f.u.): 99.83
Distance to the lowest polymorph of the same formula (eV per atom): 0.000

Lattice parameters (Å, degrees): 4.6389 4.6389 4.6389 90.00 90.00 90.00
With the nearest neighbours (Å) after each atom.
Fractional positions:
Fe1 0.5000 0.0000 0.0000  2 Ir 2.32
Fe2 0.0000 0.0000 0.5000  2 Ir 2.32
Au1 0.5000 0.5000 0.5000  12 Fe 3.28
Fe3 0.0000 0.5000 0.0000  2 Ir 2.32
Ir1 0.0000 0.0000 0.0000  6 Fe 2.32